Record 1
Pu8OsRu5 | GGA-PBE | relaxed

Summary:
Formation energy from the elements (meV per atom): -53
Calculated volume (Å³/atom): 21.06

Lattice parameters (Å, degrees): 8.398 8.398 8.362 90.00 90.00 90.00
Space group I-4 (No. 82)
Asymmetric unit:
Pu  0.060  0.319  0.050
Pu  0.075  0.183  0.686
Os  0.000  0.500  0.750
Ru  0.000  0.000  0.000
Ru  0.124  0.243  0.363

=====

Record 2
Pu6OsRu2 | GGA-PBE | relaxed

Summary:
Formation energy from the elements (meV per atom): 45
Calculated volume (Å³/atom): 19.10

Lattice parameters (Å, degrees): 9.884 4.865 8.210 90.00 119.42 90.00
Space group C2/m (No. 12)
Asymmetric unit:
Pu  0.033  0.000  0.195
Pu  0.160  0.500  0.362
Pu  0.198  0.500  0.076
Os  0.000  0.000  0.500
Ru  0.137  0.500  0.689

=====

Record 3
Pu6Os2Ru | GGA-PBE | relaxed

Summary:
Formation energy from the elements (meV per atom): 179
Calculated volume (Å³/atom): 16.42

Lattice parameters (Å, degrees): 7.6786 7.6786 2.8948 90.00 90.00 120.00
Space group P-31m (No. 162)
Asymmetric unit:
Pu  0.0000  0.3305  0.0869
Os  0.3333  0.6667  0.5000
Ru  0.0000  0.0000  0.5000

=====

Record 4
PuOsRu2 | GGA-PBE | relaxed

Summary:
Formation energy from the elements (meV per atom): 76
Calculated volume (Å³/atom): 16.07

Lattice parameters (Å, degrees): 4.016 4.016 3.985 90.00 90.00 90.00
Space group P4/mmm (No. 123)
Asymmetric unit:
Pu  0.000  0.000  0.000
Os  0.500  0.500  0.000
Ru  0.000  0.500  0.500

=====

Record 5
PuScOsRu | GGA-PBE | relaxed

Summary:
Formation energy from the elements (meV per atom): -300
Calculated volume (Å³/atom): 17.87

Lattice parameters (Å, degrees): 6.588 6.588 6.588 90.00 90.00 90.00
Space group F-43m (No. 216)
Asymmetric unit:
Pu  0.000  0.000  0.000
Sc  0.000  0.000  0.500
Os  0.250  0.250  0.250
Ru  0.250  0.250  0.750

=====

Record 6
PuSnOsRu | GGA-PBE | relaxed

Summary:
Formation energy from the elements (meV per atom): -74
Calculated volume (Å³/atom): 18.15

Lattice parameters (Å, degrees): 6.622 6.622 6.622 90.00 90.00 90.00
Space group F-43m (No. 216)
Asymmetric unit:
Pu  0.000  0.000  0.000
Sn  0.000  0.000  0.500
Os  0.250  0.250  0.750
Ru  0.250  0.250  0.250

=====

Record 7
PuTaOsRu | GGA-PBE | relaxed

Summary:
Formation energy from the elements (meV per atom): -81
Calculated volume (Å³/atom): 17.60

Lattice parameters (Å, degrees): 6.554 6.554 6.554 90.00 90.00 90.00
Space group F-43m (No. 216)
Asymmetric unit:
Pu  0.000  0.000  0.000
Ta  0.000  0.000  0.500
Os  0.250  0.250  0.250
Ru  0.250  0.250  0.750

=====

Record 8
TbPuOsRu | GGA-PBE | relaxed

Summary:
Formation energy from the elements (meV per atom): -127
Calculated volume (Å³/atom): 19.59

Lattice parameters (Å, degrees): 6.793 6.793 6.793 90.00 90.00 90.00
Space group F-43m (No. 216)
Asymmetric unit:
Tb  0.000  0.000  0.000
Pu  0.000  0.000  0.500
Os  0.250  0.250  0.750
Ru  0.250  0.250  0.250

=====

Record 9
PuTiOsRu | GGA-PBE | relaxed

Summary:
Formation energy from the elements (meV per atom): -235
Calculated volume (Å³/atom): 17.02

Lattice parameters (Å, degrees): 6.481 6.481 6.481 90.00 90.00 90.00
Space group F-43m (No. 216)
Asymmetric unit:
Pu  0.000  0.000  0.000
Ti  0.000  0.000  0.500
Os  0.250  0.250  0.250
Ru  0.250  0.250  0.750

=====

Record 10
TmPuOsRu | GGA-PBE | relaxed

Summary:
Formation energy from the elements (meV per atom): -218
Calculated volume (Å³/atom): 19.07

Lattice parameters (Å, degrees): 6.733 6.733 6.733 90.00 90.00 90.00
Space group F-43m (No. 216)
Asymmetric unit:
Tm  0.000  0.000  0.000
Pu  0.000  0.000  0.500
Os  0.250  0.250  0.250
Ru  0.250  0.250  0.750

=====

Record 11
YPuOsRu | GGA-PBE | relaxed

Summary:
Formation energy from the elements (meV per atom): -128
Calculated volume (Å³/atom): 19.55

Lattice parameters (Å, degrees): 6.788 6.788 6.788 90.00 90.00 90.00
Space group F-43m (No. 216)
Asymmetric unit:
Y  0.000  0.000  0.000
Pu  0.000  0.000  0.500
Os  0.250  0.250  0.750
Ru  0.250  0.250  0.250

=====

Record 12
PuZrOsRu | GGA-PBE | relaxed

Summary:
Formation energy from the elements (meV per atom): -252
Calculated volume (Å³/atom): 18.51

Lattice parameters (Å, degrees): 6.666 6.666 6.666 90.00 90.00 90.00
Space group F-43m (No. 216)
Asymmetric unit:
Pu  0.000  0.000  0.000
Zr  0.000  0.000  0.500
Os  0.250  0.250  0.250
Ru  0.250  0.250  0.750

=====

Record 13
PuOsS | GGA-PBE | relaxed

Summary:
Calculated volume (Å³/atom): 18.13
Uncorrected formation energy (eV per atom): -0.08

Lattice parameters (Å, degrees): 10.512 3.845 5.383 90.00 90.00 90.00
Space group Amm2 (No. 38)
Asymmetric unit:
Pu  0.183  0.000  0.000
Os  0.000  0.000  0.501
Os  0.500  0.000  0.968
S  0.361  0.000  0.410